A plane-wave DFT calculation with GGA-PBE was carried out for an optimized crystal structure of Fe2ReBTe.

Output
E   -26.59 eV for the cell shown
Symmetry   P4/mmm, No. 123

Cell: 4.642 4.642 4.966 Å, 90.00 90.00 90.00°
Sites, in units of the cell vectors:
Fe 0.000 0.500 0.000
Fe 0.500 0.000 0.000
Re 0.000 0.000 0.500
B 0.500 0.500 0.500
Te 0.000 0.000 0.000